{
  "formula": "Rb2YTcF6",
  "functional": "PBE",
  "state": "relaxed",
  "lattice_angstrom": [[6.3056, 0.0000, 0.0000], [0.0000, 6.3056, 0.0000], [3.1528, 3.1528, 4.4586]],
  "species": ["F", "F", "Rb", "F", "Tc", "F", "F", "Rb", "Y", "F"],
  "fractional_positions": [[0.2551, 0.2551, 0.0000], [0.7449, 0.7449, 0.0000], [0.2500, 0.7500, 0.5000], [0.2551, 0.2551, 0.4899], [0.0000, 0.0000, 0.0000], [0.7449, 0.2551, 0.0000], [0.7449, 0.7449, 0.5101], [0.7500, 0.2500, 0.5000], [0.5000, 0.5000, 0.0000], [0.2551, 0.7449, 0.0000]],
  "sg": "Fm-3m",
  "energy_ev_per_atom": -5.511
}

***

{
  "formula": "RbY2TcF",
  "functional": "PBE",
  "state": "relaxed",
  "lattice_angstrom": [[5.1034, 0.0000, 0.0000], [0.0000, 7.1703, 0.0000], [0.0000, 0.0000, 5.1034]],
  "species": ["Rb", "Y", "Y", "F", "Tc"],
  "fractional_positions": [[0.0000, 0.5000, 0.0000], [0.0000, 0.0000, 0.5000], [0.5000, 0.0000, 0.0000], [0.5000, 0.5000, 0.5000], [0.0000, 0.0000, 0.0000]],
  "sg": "P4/mmm",
  "energy_ev_per_atom": -5.187
}

***

{
  "formula": "Rb2ZrTcF6",
  "functional": "PBE",
  "state": "relaxed",
  "lattice_angstrom": [[-2.2372, -4.5889, 3.5039], [1.1541, -4.0374, -4.5506], [3.5133, -5.0235, 1.1353]],
  "species": ["F", "F", "Zr", "Rb", "F", "Rb", "F", "Tc", "F", "F"],
  "fractional_positions": [[0.7450, 0.2550, 0.0000], [0.2550, 0.2550, 0.0000], [0.5000, 0.5000, 0.0000], [0.2500, 0.7500, 0.5000], [0.7450, 0.7450, 0.0000], [0.7500, 0.2500, 0.5000], [0.2520, 0.2520, 0.4960], [0.0000, 0.0000, 0.0000], [0.7480, 0.7480, 0.5040], [0.2550, 0.7450, 0.0000]],
  "sg": "I4/mmm",
  "energy_ev_per_atom": -5.416
}

***

{
  "formula": "Rb2TeF7",
  "functional": "PBE",
  "state": "relaxed",
  "lattice_angstrom": [[6.5069, 0.0000, 3.1733], [2.7384, 7.1102, 2.6428], [-0.1445, -0.5847, 8.5543]],
  "species": ["Te", "F", "F", "F", "Rb", "F", "F", "F", "Te", "Rb", "F", "F", "F", "F", "Rb", "F", "F", "Rb", "F", "F"],
  "fractional_positions": [[0.1111, 0.7500, 0.2500], [0.6803, 0.5223, 0.7644], [0.9669, 0.9777, 0.7356], [0.0664, 0.6836, 0.5034], [0.2418, 0.5943, 0.7748], [0.3197, 0.4778, 0.2355], [0.0069, 0.3615, 0.8667], [0.9337, 0.3163, 0.4966], [0.8888, 0.2500, 0.7500], [0.7583, 0.4057, 0.2251], [0.6069, 0.2500, 0.7500], [0.7649, 0.8614, 0.3668], [0.7466, 0.1837, 0.0034], [0.2534, 0.8164, 0.9966], [0.6110, 0.9057, 0.7252], [0.9930, 0.6386, 0.1332], [0.0330, 0.0222, 0.2645], [0.3891, 0.0943, 0.2749], [0.2351, 0.1385, 0.6333], [0.3931, 0.7500, 0.2500]],
  "sg": "C2/c",
  "e_above_lowest_polymorph_mev_per_atom": 0,
  "energy_ev_per_atom": -4.181
}

***

| no. | size of the total moment (μB per formula unit) | ρ (g/cm³) |
| --- | --- | --- |
| 1 | 0.0 | 4.4 |
| 2 | 0.0 | 3.4 |
| 3 | 1.0 | 4.6 |
| 4 | 1.0 | 3.5 |